--- one ---
! PBE AuCSe2Br, optimized geometry; values from VASP
! Space-group type   P4/mmm (123)
&SYSTEM
  ibrav = 0, nat = 5, ntyp = 4
/
ATOMIC_SPECIES
Au 196.97 Au.upf
C 12.01 C.upf
Se 78.96 Se.upf
Br 79.90 Br.upf
ATOMIC_POSITIONS angstrom
Au 0.000 0.000 0.000
C 2.059 2.059 4.052
Se 0.000 2.059 4.052
Se 2.059 0.000 4.052
Br 2.059 2.059 0.000
CELL_PARAMETERS angstrom
4.118 0.000 0.000
0.000 4.118 0.000
0.000 0.000 8.104

--- two ---
! PBE AuCSe2Br, optimized geometry; values from VASP
! Space-group type   P4/mmm (123)
&SYSTEM
  ibrav = 0, nat = 5, ntyp = 4
/
ATOMIC_SPECIES
Au 196.97 Au.upf
C 12.01 C.upf
Se 78.96 Se.upf
Br 79.90 Br.upf
ATOMIC_POSITIONS angstrom
Au 0.000 0.000 0.000
C 2.590 2.590 2.601
Se 0.000 2.590 0.000
Se 2.590 0.000 0.000
Br 0.000 0.000 2.601
CELL_PARAMETERS angstrom
5.180 0.000 0.000
0.000 5.180 0.000
0.000 0.000 5.202

Which structure is the most stable? The one labeled one.

--- one ---
! PBE CaAuBr, optimized geometry; values from VASP
! Space-group type   F-43m (216)
&SYSTEM
  ibrav = 0, nat = 3, ntyp = 3
/
ATOMIC_SPECIES
Ca 40.08 Ca.upf
Au 196.97 Au.upf
Br 79.90 Br.upf
ATOMIC_POSITIONS angstrom
Ca 0.000 0.000 0.000
Au 5.333 5.333 5.333
Br 1.778 1.778 1.778
CELL_PARAMETERS angstrom
0.000 3.555 3.555
3.555 0.000 3.555
3.555 3.555 0.000

--- two ---
! PBE CaAuBr, optimized geometry; values from VASP
! Space-group type   P3m1 (156)
&SYSTEM
  ibrav = 0, nat = 3, ntyp = 3
/
ATOMIC_SPECIES
Ca 40.08 Ca.upf
Au 196.97 Au.upf
Br 79.90 Br.upf
ATOMIC_POSITIONS angstrom
Ca 0.000 0.000 0.000
Au 2.079 1.201 1.754
Br 0.000 2.401 4.640
CELL_PARAMETERS angstrom
4.159 0.000 0.000
-2.079 3.602 0.000
0.000 0.000 6.307

Which structure is the most stable? The one labeled two.

--- one ---
! PBE CaAuBr, optimized geometry; values from VASP
! Space-group type   I4mm (107)
&SYSTEM
  ibrav = 0, nat = 3, ntyp = 3
/
ATOMIC_SPECIES
Ca 40.08 Ca.upf
Au 196.97 Au.upf
Br 79.90 Br.upf
ATOMIC_POSITIONS angstrom
Ca 0.000 0.000 0.000
Au 0.000 0.000 4.595
Br 0.000 0.000 8.037
CELL_PARAMETERS angstrom
-1.803 1.803 6.355
1.803 -1.803 6.355
1.803 1.803 -6.355

--- two ---
! PBE CaAuBr, optimized geometry; values from VASP
! Space-group type   F-43m (216)
&SYSTEM
  ibrav = 0, nat = 3, ntyp = 3
/
ATOMIC_SPECIES
Ca 40.08 Ca.upf
Au 196.97 Au.upf
Br 79.90 Br.upf
ATOMIC_POSITIONS angstrom
Ca 0.000 0.000 0.000
Au 1.783 1.783 1.783
Br 3.565 3.565 3.565
CELL_PARAMETERS angstrom
0.000 3.565 3.565
3.565 0.000 3.565
3.565 3.565 0.000

Which structure is the most stable? The one labeled one.

--- one ---
! PBE CaAuBr3, optimized geometry; values from VASP
! Space-group type   Pm-3m (221)
&SYSTEM
  ibrav = 0, nat = 5, ntyp = 3
/
ATOMIC_SPECIES
Ca 40.08 Ca.upf
Au 196.97 Au.upf
Br 79.90 Br.upf
ATOMIC_POSITIONS angstrom
Ca 0.000 0.000 0.000
Au 2.708 2.708 2.708
Br 0.000 2.708 2.708
Br 2.708 0.000 2.708
Br 2.708 2.708 0.000
CELL_PARAMETERS angstrom
5.415 0.000 0.000
0.000 5.415 0.000
0.000 0.000 5.415

--- two ---
! PBE CaAuBr3, optimized geometry; values from VASP
! Space-group type   Pm-3m (221)
&SYSTEM
  ibrav = 0, nat = 5, ntyp = 3
/
ATOMIC_SPECIES
Ca 40.08 Ca.upf
Au 196.97 Au.upf
Br 79.90 Br.upf
ATOMIC_POSITIONS angstrom
Ca 0.000 0.000 0.000
Au 2.800 2.800 2.800
Br 0.000 0.000 2.800
Br 0.000 2.800 0.000
Br 2.800 0.000 0.000
CELL_PARAMETERS angstrom
5.600 0.000 0.000
0.000 5.600 0.000
0.000 0.000 5.600

Which structure is the most stable? The one labeled two.